# 1
# NaAcGa | Alexandria via LeMat-Bulk | PBE | relaxed
# SG: I4mm (107)
# D(E_F) (states/eV/atom): 1.066
# Calculated formation energy (meV per atom): -61
# Polymorph energy (0 for the lowest one) (eV per atom): 0.236
# Total magnetization (μB/atom): 0.00
# Energy (eV for the cell shown): -8.6
data_NaAcGa
_cell_length_a 3.8559
_cell_length_b 3.8559
_cell_length_c 6.9801
_cell_angle_alpha 106.03
_cell_angle_beta 106.03
_cell_angle_gamma 90.00
_symmetry_space_group_name_H-M 'P 1'
_symmetry_Int_Tables_number 1
loop_
_symmetry_equiv_pos_as_xyz
'x,y,z'
loop_
_atom_site_label
_atom_site_type_symbol
_atom_site_fract_x
_atom_site_fract_y
_atom_site_fract_z
_atom_site_occupancy
Ga1 Ga 0.6621 0.6621 0.3243 1
Ac1 Ac 0.3084 0.3084 0.6168 1
Na1 Na 0.0295 0.0295 0.0590 1

=====

# 2
# Mn2NiMo | Alexandria via LeMat-Bulk | PBE | relaxed
# SG: R3m (160)
# D(E_F) (states/eV/atom): 0.609
# Calculated formation energy (meV per atom): 199
# Total magnetization (μB/atom): 0.02
# Energy (eV for the cell shown): -34.2
data_Mn2NiMo
_cell_length_a 8.6457
_cell_length_b 8.6457
_cell_length_c 8.6457
_cell_angle_alpha 17.18
_cell_angle_beta 17.18
_cell_angle_gamma 17.18
_symmetry_space_group_name_H-M 'P 1'
_symmetry_Int_Tables_number 1
loop_
_symmetry_equiv_pos_as_xyz
'x,y,z'
loop_
_atom_site_label
_atom_site_type_symbol
_atom_site_fract_x
_atom_site_fract_y
_atom_site_fract_z
_atom_site_occupancy
Mn1 Mn 0.2569 0.2569 0.2569 1
Ni1 Ni 0.7456 0.7456 0.7456 1
Mn2 Mn 0.9979 0.9979 0.9979 1
Mo1 Mo 0.4996 0.4996 0.4996 1

=====

# 3
# HfAl2Cl | Alexandria via LeMat-Bulk | PBE | relaxed
# E_form (uncorrected) (eV per atom): 0.239
# SG: I-42d (122)
# D(E_F) (states/eV/atom): 0.803
# Polymorph energy (0 for the lowest one) (eV per atom): 0.000
# Total magnetization (μB/atom): 0.00
# Energy (eV for the cell shown): -36.7
data_HfAl2Cl
_cell_length_a 7.8195
_cell_length_b 7.8195
_cell_length_c 6.1306
_cell_angle_alpha 50.38
_cell_angle_beta 50.38
_cell_angle_gamma 90.00
_symmetry_space_group_name_H-M 'P 1'
_symmetry_Int_Tables_number 1
loop_
_symmetry_equiv_pos_as_xyz
'x,y,z'
loop_
_atom_site_label
_atom_site_type_symbol
_atom_site_fract_x
_atom_site_fract_y
_atom_site_fract_z
_atom_site_occupancy
Al1 Al 0.6199 0.1250 0.2500 1
Al2 Al 0.3750 0.3801 0.7500 1
Cl1 Cl 0.2500 0.7500 0.5000 1
Cl2 Cl 0.5000 0.5000 0.0000 1
Al3 Al 0.8750 0.8699 0.7500 1
Hf1 Hf 0.7500 0.2500 0.5000 1
Hf2 Hf 0.0000 0.0000 0.0000 1
Al4 Al 0.1301 0.6250 0.2500 1

=====

# 4
# Sn2OsS | Alexandria via LeMat-Bulk | PBE | relaxed
# E_form (uncorrected) (eV per atom): 0.487
# SG: I-42d (122)
# D(E_F) (states/eV/atom): 0.343
# Total magnetization (μB/atom): 0.00
# Energy (eV for the cell shown): -42.8
data_Sn2OsS
_cell_length_a 6.1507
_cell_length_b 6.1507
_cell_length_c 7.3195
_cell_angle_alpha 65.16
_cell_angle_beta 65.16
_cell_angle_gamma 90.00
_symmetry_space_group_name_H-M 'P 1'
_symmetry_Int_Tables_number 1
loop_
_symmetry_equiv_pos_as_xyz
'x,y,z'
loop_
_atom_site_label
_atom_site_type_symbol
_atom_site_fract_x
_atom_site_fract_y
_atom_site_fract_z
_atom_site_occupancy
Sn1 Sn 0.1056 0.6250 0.2500 1
S1 S 0.5000 0.5000 0.0000 1
Sn2 Sn 0.3750 0.3556 0.7500 1
Os1 Os 0.7500 0.2500 0.5000 1
Sn3 Sn 0.6444 0.1250 0.2500 1
Sn4 Sn 0.8750 0.8944 0.7500 1
S2 S 0.2500 0.7500 0.5000 1
Os2 Os 0.0000 0.0000 0.0000 1

=====

# 5
# LiAgPt2 | Alexandria via LeMat-Bulk | PBE | relaxed
# SG: Cm (8)
# D(E_F) (states/eV/atom): 0.487
# Calculated formation energy (meV per atom): -308
# Polymorph energy (0 for the lowest one) (eV per atom): 0.039
# Total magnetization (μB/atom): 0.00
# Energy (eV for the cell shown): -18.1
data_LiAgPt2
_cell_length_a 5.2086
_cell_length_b 5.2086
_cell_length_c 4.9585
_cell_angle_alpha 65.32
_cell_angle_beta 65.32
_cell_angle_gamma 30.95
_symmetry_space_group_name_H-M 'P 1'
_symmetry_Int_Tables_number 1
loop_
_symmetry_equiv_pos_as_xyz
'x,y,z'
loop_
_atom_site_label
_atom_site_type_symbol
_atom_site_fract_x
_atom_site_fract_y
_atom_site_fract_z
_atom_site_occupancy
Li1 Li 0.2524 0.2524 0.3327 1
Pt1 Pt 0.7466 0.7466 0.8597 1
Pt2 Pt 0.0068 0.0068 0.8963 1
Ag1 Ag 0.4942 0.4942 0.4113 1

=====

# 6
# ReSiBr2 | Alexandria via LeMat-Bulk | PBE | relaxed
# E_form (uncorrected) (eV per atom): 1.240
# SG: P4/mmm (123)
# D(E_F) (states/eV/atom): 1.198
# Polymorph energy (0 for the lowest one) (eV per atom): 1.104
# Total magnetization (μB/atom): 0.08
# Energy (eV for the cell shown): -16.3
data_ReSiBr2
_cell_length_a 3.0705
_cell_length_b 3.0706
_cell_length_c 8.8129
_cell_angle_alpha 90.00
_cell_angle_beta 90.00
_cell_angle_gamma 90.00
_symmetry_space_group_name_H-M 'P 1'
_symmetry_Int_Tables_number 1
loop_
_symmetry_equiv_pos_as_xyz
'x,y,z'
loop_
_atom_site_label
_atom_site_type_symbol
_atom_site_fract_x
_atom_site_fract_y
_atom_site_fract_z
_atom_site_occupancy
Br1 Br 0.0000 0.0000 0.0625 1
Re1 Re 0.5000 0.5000 0.2500 1
Si1 Si 0.5000 0.5000 0.7500 1
Br2 Br 0.0000 0.0000 0.4375 1

=====

# 7
# NdCdSb | Alexandria via LeMat-Bulk | PBE | relaxed
# E_form (uncorrected) (eV per atom): -0.645
# SG: P1 (1)
# D(E_F) (states/eV/atom): 0.268
# Polymorph energy (0 for the lowest one) (eV per atom): 0.000
# Total magnetization (μB/atom): 0.00
# Energy (eV for the cell shown): -23.5
data_NdCdSb
_cell_length_a 4.4701
_cell_length_b 6.3042
_cell_length_c 11.3708
_cell_angle_alpha 123.00
_cell_angle_beta 112.63
_cell_angle_gamma 44.67
_symmetry_space_group_name_H-M 'P 1'
_symmetry_Int_Tables_number 1
loop_
_symmetry_equiv_pos_as_xyz
'x,y,z'
loop_
_atom_site_label
_atom_site_type_symbol
_atom_site_fract_x
_atom_site_fract_y
_atom_site_fract_z
_atom_site_occupancy
Cd1 Cd 0.6703 0.5546 0.6881 1
Nd1 Nd 0.6978 0.7389 0.3862 1
Sb1 Sb 0.7017 0.4115 0.0531 1
Cd2 Cd 0.6687 0.1094 0.7453 1
Sb2 Sb 0.6973 0.2328 0.3801 1
Nd2 Nd 0.7021 0.9052 0.0469 1

=====

# 8
# ZnGeRuSeO | Alexandria via LeMat-Bulk | PBE | relaxed
# E_form (uncorrected) (eV per atom): -0.316
# SG: Cm (8)
# D(E_F) (states/eV/atom): 0.020
# Polymorph energy (0 for the lowest one) (eV per atom): 0.259
# Total magnetization (μB/atom): 0.00
# Energy (eV for the cell shown): -50.4
data_ZnGeRuSeO
_cell_length_a 7.1692
_cell_length_b 3.1093
_cell_length_c 8.6866
_cell_angle_alpha 90.00
_cell_angle_beta 107.53
_cell_angle_gamma 90.00
_symmetry_space_group_name_H-M 'P 1'
_symmetry_Int_Tables_number 1
loop_
_symmetry_equiv_pos_as_xyz
'x,y,z'
loop_
_atom_site_label
_atom_site_type_symbol
_atom_site_fract_x
_atom_site_fract_y
_atom_site_fract_z
_atom_site_occupancy
Ge1 Ge 0.6044 0.5000 0.6334 1
Se1 Se 0.1871 0.5000 0.5659 1
Se2 Se 0.1871 0.0000 0.0659 1
O1 O 0.6322 0.5000 0.8528 1
Zn1 Zn 0.8281 0.5000 0.4678 1
Zn2 Zn 0.8281 0.0000 0.9678 1
Ru1 Ru 0.3744 0.0000 0.4507 1
Ru2 Ru 0.3744 0.5000 0.9507 1
Ge2 Ge 0.6044 0.0000 0.1334 1
O2 O 0.6322 0.0000 0.3528 1

=====

> The highest total magnetization belongs to which entry?

ReSiBr2